# YBSe2Br

An optimized crystal structure of YBSe2Br (PBE, Alexandria).

Results
E above lowest polymorph   0.531 eV/atom
Formation energy without anion corrections   0.274 eV/atom
Raw total energy   -4.082 eV per atom
Spin magnetization   0.25 μB per cell
D(E_F)   1.370 states/eV per atom

Lattice parameters (Å, degrees): 5.497 5.497 5.542 90.00 90.00 90.00
Space group P4/mmm (No. 123)
Symmetry-distinct sites (fractional):
Y: 0.000 0.000 0.000 (multiplicity 1)
B: 0.500 0.500 0.500 (multiplicity 1)
Se: 0.000 0.500 0.000 (multiplicity 2)
Br: 0.000 0.000 0.500 (multiplicity 1)